A plane-wave DFT calculation with PBE-GGA was carried out for SiWAu2 after structural relaxation.

Cell and atoms, written as POSCAR:
```
SiWAu2
1.0
-0.3229 -2.8293 -0.0060
1.0976 -0.1339 4.0999
-5.2908 0.6007 1.4360
W Si Au
1 1 2
direct
0.5000 0.5000 0.7500 W
0.5000 0.5000 0.2500 Si
0.0000 0.0000 0.9971 Au
0.0000 0.0000 0.5029 Au
```

Computed properties:
DOS(E_F) ... 3.203 states/eV/f.u.
Formation energy (no corrections) ... 1.899 eV/f.u.
Density ... 15.09 Mg/m³
Raw total energy ... -5.76 eV/atom